Here is a geometry-optimized Ho2Al3Fe structure from Alexandria. Energies are from PBE-GGA.

```
Ho2Al3Fe
1.0
5.379 -0.001 -0.001
2.563 4.729 -0.001
2.563 1.526 4.476
Ho Al Fe
2 3 1
Direct
0.626 0.626 0.626
0.374 0.374 0.374
0.000 0.500 0.000
0.500 0.000 0.000
0.000 0.000 0.500
0.000 0.000 0.000
```

SG = R-3m, No. 166
Formation energy = -0.408 eV/atom
Calculated total energy = -5.216 eV per atom



Here is a geometry-optimized HoAl3Fe3 structure from Alexandria. Energies are from PBE-GGA.

```
HoAl3Fe3
1.0
6.449 0.000 0.000
0.000 6.449 0.000
0.000 0.000 6.449
Al Ho Fe
6 2 6
Direct
0.000 0.250 0.500
0.000 0.750 0.500
0.500 0.000 0.750
0.750 0.500 0.000
0.500 0.000 0.250
0.250 0.500 0.000
0.500 0.500 0.500
0.000 0.000 0.000
0.250 0.000 0.500
0.000 0.500 0.250
0.500 0.750 0.000
0.750 0.000 0.500
0.000 0.500 0.750
0.500 0.250 0.000
```

SG = Pm-3n, No. 223
Formation energy = 0.547 eV/atom
Calculated total energy = -5.338 eV per atom



Here is a geometry-optimized HoAl2Fe structure from Alexandria. Energies are from PBE-GGA.

```
HoAl2Fe
1.0
3.080 0.000 0.000
1.540 2.668 0.000
1.540 0.889 8.854
Al Ho Fe
2 1 1
Direct
0.733 0.733 0.800
0.267 0.267 0.200
0.500 0.500 0.500
0.000 0.000 0.000
```

SG = R-3m, No. 166
Formation energy = 0.090 eV/atom
Calculated total energy = -5.041 eV per atom



Here is a geometry-optimized HoAl2Fe structure from Alexandria. Energies are from PBE-GGA.

```
HoAl2Fe
1.0
-2.378 -1.004 -1.598
-1.524 -0.496 2.579
-2.661 6.741 -0.276
Al Ho Fe
2 1 1
Direct
0.000 0.000 0.818
0.000 0.000 0.182
0.500 0.500 0.500
0.500 0.500 0.000
```

SG = P4/mmm, No. 123
Formation energy = -0.274 eV/atom
Calculated total energy = -5.406 eV per atom



Here is a geometry-optimized Ho2AlFe2 structure from Alexandria. Energies are from PBE-GGA.

```
Ho2AlFe2
1.0
5.432 0.000 0.000
-2.716 4.510 -1.209
0.000 0.151 7.562
Ho Al Fe
4 2 4
Direct
0.503 0.294 0.146
0.209 0.706 0.354
0.497 0.706 0.854
0.791 0.294 0.646
0.877 0.000 0.250
0.123 0.000 0.750
0.702 0.707 0.493
0.995 0.293 0.007
0.298 0.293 0.507
0.005 0.707 0.993
```

SG = C2/c, No. 15
Formation energy = -0.186 eV/atom
Calculated total energy = -6.151 eV per atom



Here is a geometry-optimized HoAl10Fe2 structure from Alexandria. Energies are from PBE-GGA.

```
HoAl10Fe2
1.0
6.745 0.005 0.000
-0.843 6.692 0.000
0.000 0.000 8.963
Ho Al Fe
2 20 4
Direct
0.874 0.126 0.750
0.126 0.874 0.250
0.625 0.375 0.549
0.375 0.625 0.451
0.375 0.625 0.049
0.625 0.375 0.951
0.227 0.227 0.500
0.773 0.773 0.500
0.773 0.773 0.000
0.227 0.227 0.000
0.843 0.157 0.097
0.157 0.843 0.903
0.157 0.843 0.597
0.843 0.157 0.403
0.865 0.585 0.750
0.135 0.415 0.250
0.415 0.135 0.750
0.585 0.865 0.250
0.219 0.478 0.750
0.781 0.522 0.250
0.522 0.781 0.750
0.478 0.219 0.250
0.000 0.500 0.500
0.000 0.500 0.000
0.500 0.000 0.000
0.500 0.000 0.500
```

SG = Cmcm, No. 63
Formation energy = -0.358 eV/atom
Calculated total energy = -4.891 eV per atom



Here is a geometry-optimized HoAl3Fe structure from Alexandria. Energies are from PBE-GGA.

```
HoAl3Fe
1.0
4.496 0.000 0.000
0.000 4.496 0.000
0.000 0.000 4.496
Al Ho Fe
3 1 1
Direct
0.000 0.500 0.000
0.000 0.000 0.500
0.500 0.000 0.000
0.500 0.500 0.500
0.000 0.000 0.000
```

SG = Pm-3m, No. 221
Formation energy = -0.286 eV/atom
Offset from the most stable computed form = 0.205 eV/f.u.
Calculated total energy = -5.140 eV per atom



Here is a geometry-optimized HoAl3Fe structure from Alexandria. Energies are from PBE-GGA.

```
HoAl3Fe
1.0
4.965 0.000 0.000
0.000 6.555 0.122
0.000 -2.858 5.901
Ho Al Fe
2 6 2
Direct
0.750 0.591 0.409
0.250 0.409 0.591
0.750 0.441 0.904
0.750 0.096 0.559
0.250 0.904 0.441
0.250 0.559 0.096
0.000 0.000 0.000
0.500 0.000 0.000
0.750 0.819 0.181
0.250 0.181 0.819
```

SG = Cmcm, No. 63
Formation energy = 0.060 eV/atom
Offset from the most stable computed form = 1.935 eV/f.u.
Calculated total energy = -4.794 eV per atom



Here is a geometry-optimized Ho4Al16Fe3 structure from Alexandria. Energies are from PBE-GGA.

```
Ho4Al16Fe3
1.0
-5.810 -0.972 1.219
-1.074 -0.914 -5.848
2.105 -10.918 1.320
Ho Al Fe
4 16 3
Direct
0.500 0.000 0.808
0.000 0.500 0.192
0.000 0.500 0.808
0.500 0.000 0.192
0.000 0.000 0.788
0.275 0.275 0.000
0.500 0.500 0.805
0.725 0.275 0.000
0.500 0.500 0.195
0.725 0.725 0.000
0.000 0.000 0.212
0.751 0.751 0.615
0.751 0.249 0.385
0.249 0.249 0.615
0.249 0.751 0.385
0.275 0.725 0.000
0.751 0.751 0.385
0.751 0.249 0.615
0.249 0.249 0.385
0.249 0.751 0.615
0.000 0.500 0.500
0.000 0.000 0.000
0.500 0.000 0.500
```

SG = P4/mmm, No. 123
Formation energy = -0.408 eV/atom
Calculated total energy = -4.912 eV per atom



Here is a geometry-optimized HoAl11Fe structure from Alexandria. Energies are from PBE-GGA.

```
HoAl11Fe
1.0
4.745 -0.073 1.977
2.244 6.672 0.935
-0.038 -0.037 6.774
Ho Al Fe
1 11 1
Direct
0.000 0.000 0.000
0.286 0.230 0.214
0.714 0.770 0.786
0.500 0.770 0.214
0.500 0.230 0.786
0.365 0.638 0.657
0.635 0.362 0.343
0.978 0.362 0.657
0.022 0.638 0.343
0.000 0.500 0.000
0.500 0.000 0.500
0.000 0.000 0.500
0.500 0.500 0.000
```

SG = C2/m, No. 12
Formation energy = -0.180 eV/atom
Calculated total energy = -4.349 eV per atom



Here is a geometry-optimized HoLuAlFe structure from Alexandria. Energies are from PBE-GGA.

```
HoLuAlFe
1.0
-1.912 -0.964 4.405
-0.703 -4.640 1.403
2.803 -1.948 3.514
Al Lu Ho Fe
1 1 1 1
Direct
0.000 0.000 0.000
0.250 0.250 0.250
0.750 0.750 0.750
0.500 0.500 0.500
```

SG = F-43m, No. 216
Formation energy = -0.106 eV/atom
Calculated total energy = -5.432 eV per atom



Here is a geometry-optimized Ho2MnAl5Fe2 structure from Alexandria. Energies are from PBE-GGA.

```
Ho2MnAl5Fe2
1.0
-2.190 -0.728 -1.968
7.205 -2.047 -7.259
0.415 -9.916 3.208
Ho Mn Al Fe
4 2 10 4
Direct
0.000 0.687 0.187
0.000 0.313 0.813
0.000 0.187 0.313
0.000 0.813 0.687
0.000 0.000 0.000
0.000 0.500 0.500
0.500 0.199 0.052
0.500 0.801 0.948
0.500 0.052 0.801
0.500 0.699 0.448
0.500 0.948 0.199
0.500 0.301 0.552
0.500 0.552 0.699
0.500 0.448 0.301
0.500 0.500 0.000
0.500 0.000 0.500
0.000 0.127 0.627
0.000 0.873 0.373
0.000 0.627 0.873
0.000 0.373 0.127
```

SG = P4/mbm, No. 127
Formation energy = -0.202 eV/atom
Calculated total energy = -5.598 eV per atom



Here is a geometry-optimized Nd2HoAl12Fe3 structure from Alexandria. Energies are from PBE-GGA.

```
Nd2HoAl12Fe3
1.0
-0.128 6.652 -4.358
-1.200 -1.111 -7.784
-7.192 2.152 -2.626
Nd Ho Al Fe
2 1 12 3
Direct
0.583 0.583 0.583
0.417 0.417 0.417
0.000 0.000 0.000
0.272 0.272 0.919
0.838 0.838 0.471
0.471 0.838 0.838
0.919 0.272 0.272
0.838 0.471 0.838
0.272 0.919 0.272
0.728 0.728 0.081
0.162 0.162 0.529
0.529 0.162 0.162
0.081 0.728 0.728
0.162 0.529 0.162
0.728 0.081 0.728
0.500 0.000 0.000
0.000 0.500 0.000
0.000 0.000 0.500
```

SG = R-3m, No. 166
Formation energy = 0.135 eV/atom
Calculated total energy = -4.555 eV per atom



Here is a geometry-optimized Ho2AlFe2Ni5 structure from Alexandria. Energies are from PBE-GGA.

```
Ho2AlFe2Ni5
1.0
3.650 0.000 0.000
0.000 8.941 0.000
0.000 0.000 8.941
Ho Al Fe Ni
4 2 4 10
Direct
0.000 0.679 0.179
0.000 0.321 0.821
0.000 0.179 0.321
0.000 0.821 0.679
0.000 0.000 0.000
0.000 0.500 0.500
0.000 0.119 0.619
0.000 0.881 0.381
0.000 0.619 0.881
0.000 0.381 0.119
0.500 0.207 0.060
0.500 0.793 0.940
0.500 0.060 0.793
0.500 0.707 0.440
0.500 0.940 0.207
0.500 0.293 0.560
0.500 0.560 0.707
0.500 0.440 0.293
0.500 0.500 0.000
0.500 0.000 0.500
```

SG = P4/mbm, No. 127
Formation energy = -0.217 eV/atom
Calculated total energy = -6.090 eV per atom



Here is a geometry-optimized Pm2HoAl12Fe3 structure from Alexandria. Energies are from PBE-GGA.

```
Pm2HoAl12Fe3
1.0
7.915 -0.336 -0.239
3.616 7.049 -0.239
3.616 2.105 6.731
Pm Ho Al Fe
2 1 12 3
Direct
0.583 0.583 0.583
0.417 0.417 0.417
0.000 0.000 0.000
0.273 0.273 0.917
0.838 0.838 0.471
0.471 0.838 0.838
0.917 0.273 0.273
0.838 0.471 0.838
0.273 0.917 0.273
0.727 0.727 0.083
0.162 0.162 0.529
0.529 0.162 0.162
0.083 0.727 0.727
0.162 0.529 0.162
0.727 0.083 0.727
0.500 0.000 0.000
0.000 0.500 0.000
0.000 0.000 0.500
```

SG = R-3m, No. 166
Formation energy = 0.139 eV/atom
Calculated total energy = -4.548 eV per atom



Here is a geometry-optimized Pr2HoAl12Fe3 structure from Alexandria. Energies are from PBE-GGA.

```
Pr2HoAl12Fe3
1.0
-3.041 7.166 -1.774
-7.476 1.236 2.517
-0.720 5.009 6.176
Pr Ho Al Fe
2 1 12 3
Direct
0.583 0.583 0.583
0.417 0.417 0.417
0.000 0.000 0.000
0.271 0.271 0.921
0.839 0.839 0.471
0.471 0.839 0.839
0.921 0.271 0.271
0.839 0.471 0.839
0.271 0.921 0.271
0.729 0.729 0.079
0.161 0.161 0.529
0.529 0.161 0.161
0.079 0.729 0.729
0.161 0.529 0.161
0.729 0.079 0.729
0.500 0.000 0.000
0.000 0.500 0.000
0.000 0.000 0.500
```

SG = R-3m, No. 166
Formation energy = 0.130 eV/atom
Calculated total energy = -4.561 eV per atom



Here is a geometry-optimized Ho2Al6FeRu structure from Alexandria. Energies are from PBE-GGA.

```
Ho2Al6FeRu
1.0
-1.921 5.868 1.934
-4.987 -0.272 -4.114
-6.037 0.881 2.165
Ho Al Fe Ru
2 6 1 1
Direct
0.250 0.750 0.500
0.750 0.250 0.500
0.243 0.757 0.000
0.757 0.757 0.000
0.243 0.243 0.513
0.757 0.243 0.000
0.243 0.243 0.000
0.757 0.757 0.487
0.000 0.000 0.000
0.500 0.500 0.000
```

SG = Fm-3m, No. 225
Formation energy = -0.311 eV/atom
Calculated total energy = -5.246 eV per atom



Here is a geometry-optimized HoScAlFe structure from Alexandria. Energies are from PBE-GGA.

```
HoScAlFe
1.0
4.794 0.000 0.000
2.397 4.151 0.000
2.397 1.384 3.914
Sc Al Ho Fe
1 1 1 1
Direct
0.250 0.250 0.250
0.500 0.500 0.500
0.750 0.750 0.750
0.000 0.000 0.000
```

SG = F-43m, No. 216
Formation energy = -0.137 eV/atom
Calculated total energy = -5.916 eV per atom



Here is a geometry-optimized HoAlFeSi2 structure from Alexandria. Energies are from PBE-GGA.

```
HoAlFeSi2
1.0
5.527 0.000 0.000
0.000 5.401 0.000
0.000 0.000 5.392
Ho Al Fe Si
2 2 2 4
Direct
0.221 0.250 0.500
0.779 0.750 0.500
0.636 0.750 0.000
0.364 0.250 0.000
0.000 0.000 0.000
0.000 0.500 0.000
0.749 0.250 0.746
0.749 0.250 0.254
0.251 0.750 0.746
0.251 0.750 0.254
```

ΔE_f (raw) = -2.4 eV/f.u.
SG = Pmma, No. 51
Calculated total energy = -6.011 eV per atom



Here is a geometry-optimized Sm2HoAl12Fe3 structure from Alexandria. Energies are from PBE-GGA.

```
Sm2HoAl12Fe3
1.0
-4.184 -6.626 -1.070
-1.483 -4.077 6.613
-7.491 0.379 2.508
Sm Ho Al Fe
2 1 12 3
Direct
0.583 0.583 0.583
0.417 0.417 0.417
0.000 0.000 0.000
0.274 0.274 0.914
0.837 0.837 0.471
0.471 0.837 0.837
0.914 0.274 0.274
0.837 0.471 0.837
0.274 0.914 0.274
0.726 0.726 0.086
0.163 0.163 0.529
0.529 0.163 0.163
0.086 0.726 0.726
0.163 0.529 0.163
0.726 0.086 0.726
0.500 0.000 0.000
0.000 0.500 0.000
0.000 0.000 0.500
```

SG = R-3m, No. 166
Formation energy = 0.144 eV/atom
Calculated total energy = -4.540 eV per atom